DFT (PBE-GGA) results for crystalline BaMgGa2Ir at its relaxed geometry.

POSCAR file:
```
BaMgGa2Ir
1.0
4.894 0.000 0.000
0.000 4.894 0.000
0.000 0.000 5.068
Ba Ga Ir Mg
1 2 1 1
direct
0.500 0.500 0.500
0.500 0.000 0.000
0.000 0.500 0.000
0.000 0.000 0.000
0.000 0.000 0.500
```

Summary:
Energy above the most stable polymorph in this dataset = 0 meV/atom
SG = No. 123